{
  "formula": "YCr4",
  "functional": "PBE",
  "state": "optimized geometry",
  "lattice_angstrom": [[4.848, 0.000, 0.000], [0.000, 4.848, 0.000], [0.000, 0.000, 4.848]],
  "species": ["Cr", "Cr", "Cr", "Cr", "Y"],
  "fractional_positions": [[0.500, 0.500, 0.000], [0.000, 0.000, 0.000], [0.500, 0.000, 0.500], [0.000, 0.500, 0.500], [0.500, 0.500, 0.500]],
  "sg": "Pm-3m, No. 221",
  "ef_ev_per_atom": 2.111,
  "final_energy_ev_per_cell": -34.401,
  "relative_energy_mev_per_atom": 1749.4
}

***

{
  "formula": "Dy2HoCd2In2",
  "functional": "PBE",
  "state": "optimized geometry",
  "lattice_angstrom": [[-1.375, 0.545, 4.707], [-4.400, -1.658, 1.492], [1.717, -8.255, 4.044]],
  "species": ["In", "In", "Dy", "Dy", "Ho", "Cd", "Cd"],
  "fractional_positions": [[0.741, 0.741, 0.778], [0.259, 0.259, 0.222], [0.128, 0.128, 0.616], [0.872, 0.872, 0.384], [0.000, 0.000, 0.000], [0.605, 0.605, 0.184], [0.395, 0.395, 0.816]],
  "sg": "R-3m, No. 166",
  "ef_ev_per_atom": -0.239,
  "final_energy_ev_per_cell": -22.765
}

***

{
  "formula": "Nd3In4Pd4",
  "functional": "PBE",
  "state": "optimized geometry",
  "lattice_angstrom": [[-2.188, 1.458, 3.307], [1.025, -6.923, 3.731], [7.002, 5.351, -0.426]],
  "species": ["In", "In", "In", "In", "Pd", "Pd", "Pd", "Pd", "Nd", "Nd", "Nd"],
  "fractional_positions": [[0.671, 0.869, 0.343], [0.671, 0.474, 0.343], [0.329, 0.526, 0.657], [0.329, 0.131, 0.657], [0.776, 0.276, 0.551], [0.500, 0.191, 0.000], [0.500, 0.809, 0.000], [0.224, 0.724, 0.449], [0.000, 0.500, 0.000], [0.119, 0.119, 0.238], [0.881, 0.881, 0.762]],
  "sg": "Immm, No. 71",
  "ef_ev_per_atom": -0.701,
  "final_energy_ev_per_cell": -53.741
}